1.
This record from Alexandria via LeMat-Bulk describes a relaxed structure of KMgP2. The functional is PBE.

Results
ΔE_f (eV/atom): -0.174
Fermi-level density of states (states/eV/atom): 0.291
Spin magnetization (μB per formula unit): 0.0

a b c (Å): 5.1210 5.1210 16.8922
angles (deg): 90.00 90.00 90.00
Space group I4_1/amd (No. 141, origin choice 2)
Unique sites:
K: 0.0000 0.2500 0.3750
Mg: 0.0000 0.2500 0.8750
P: 0.0000 0.0000 0.0000



2.
This record from Alexandria via LeMat-Bulk describes a relaxed structure of OsPbAu2. The functional is PBE.

Results
ΔE_f (eV/atom): 0.641
Fermi-level density of states (states/eV/atom): 0.790
Spin magnetization (μB per formula unit): 0.0

a b c (Å): 5.6114 8.2578 3.2792
angles (deg): 90.00 90.00 90.00
Space group Cmmm (No. 65)
Unique sites:
Os: 0.0000 0.0000 0.0000
Pb: 0.0000 0.5000 0.0000
Au: 0.2500 0.2500 0.5000



3.
This record from Alexandria via LeMat-Bulk describes a relaxed structure of Pu2MnSi3. The functional is PBE.

Results
Formation energy (no corrections) (eV/atom): -0.371
Fermi-level density of states (states/eV/atom): 1.633
Spin magnetization (μB per formula unit): 7.4

a b c (Å): 4.2108 4.2108 14.1492
angles (deg): 90.00 90.00 120.00
Space group P6_3/mmc (No. 194)
Unique sites:
Pu: 0.0000 0.0000 0.1316
Mn: 0.3333 0.6667 0.2500
Si: 0.3333 0.6667 0.0025
Si: 0.3333 0.6667 0.7500